Record 1
! RbAg2PSe2S2 PBE optimized geometry; values from VASP
&SYSTEM
  ibrav = 0, nat = 8, ntyp = 5
/
ATOMIC_SPECIES
Rb 85.47 Rb.upf
Ag 107.87 Ag.upf
P 30.97 P.upf
Se 78.96 Se.upf
S 32.06 S.upf
CELL_PARAMETERS angstrom
5.4859 -3.4290 0.0000
5.4859 3.4290 0.0000
-4.1117 0.0000 5.4894
ATOMIC_POSITIONS angstrom
Rb 0.0000 0.0000 0.0000
Ag -0.2895 -0.0521 4.0543
Ag 7.1496 -0.0521 1.4352
P 3.4301 -0.1889 2.7447
Se 3.2214 1.1500 0.9497
Se 3.6388 1.1500 4.5398
S 1.7422 -1.3575 2.9674
S 5.1179 -1.3575 2.5221
! Energy above the lowest structure with this stoichiometry = 0 meV per atom

Record 2
! RbAgPSeS2 PBE optimized geometry; values from VASP
&SYSTEM
  ibrav = 0, nat = 12, ntyp = 5
/
ATOMIC_SPECIES
Rb 85.47 Rb.upf
Ag 107.87 Ag.upf
P 30.97 P.upf
Se 78.96 Se.upf
S 32.06 S.upf
CELL_PARAMETERS angstrom
6.2675 -3.6069 0.0000
6.2675 3.6069 0.0000
-2.8516 0.0000 7.5081
ATOMIC_POSITIONS angstrom
Rb 1.8076 0.0000 1.5325
Rb 7.8758 0.0000 5.9756
Ag 4.8417 1.7136 3.7540
Ag 4.8417 -1.7136 3.7540
P 3.6062 0.0000 6.3771
P 6.0772 0.0000 1.1310
Se 1.7360 0.0000 5.2894
Se 7.9474 0.0000 2.2187
S 4.9413 1.7110 1.3719
S 4.7421 1.7110 6.1362
S 4.9413 -1.7110 1.3719
S 4.7421 -1.7110 6.1362
! Total DFT energy (no corrections) = -4.036 eV/atom